Here is a relaxed Nd2PuPaAs4 crystal from Alexandria via LeMat-Bulk. Energies are from PBE-GGA.

The energy of formation from the pure elements comes out at -1292 meV per atom. The value obtained for the total energy is -7.79 eV per atom.

Cell: 7.2430 4.1929 7.2742 Å, 90.00 109.45 90.00°
Closest atoms and distances in Å follow each position.
Space group P2/m (No. 10)
Unique sites:
Nd (0.0000, 0.0000, 0.0000) [1 per cell]  6 As 3.03-3.04
Nd (0.5000, 0.5000, 0.0000) [1 per cell]  6 As 2.99-3.01
Pu (0.0000, 0.5000, 0.5000) [1 per cell]  6 As 2.93
Pa (0.5000, 0.0000, 0.5000) [1 per cell]  6 As 2.89-2.90
As (0.2496, 0.0000, 0.7371) [2 per cell]  1 Pa 2.89, 2 Pu 2.93, 3 Nd 3.01-3.04
As (0.2581, 0.5000, 0.2631) [2 per cell]  2 Pa 2.90, 1 Pu 2.93, 3 Nd 2.99-3.03